1.
Computed, not measured: an optimized crystal structure of YAl at the GGA-PBEsol level of DFT.

```
YAl
1.0
3.4206 0.0000 0.0000
0.0000 4.6685 0.0000
0.0000 0.0000 6.0711
Y Al
2 2
Cartesian
0.8552 1.1671 1.0025
2.5655 3.5014 5.0687
0.8552 1.1671 4.0060
2.5655 3.5014 2.0652
```

Computed properties:
DFT formation energy in meV per atom: -102


2.
Computed, not measured: an optimized crystal structure of TaCoTe2 at the GGA-PBEsol level of DFT.

```
TaCoTe2
1.0
8.1262 0.0000 0.0000
0.0000 6.2122 0.0000
-3.3990 0.0000 6.8772
Ta Co Te
4 4 8
Cartesian
-0.9306 0.1126 2.1173
-2.6301 2.9935 5.5558
7.3573 3.2187 1.3213
5.6578 6.0997 4.7599
-1.0045 4.0304 3.8479
0.6950 5.2879 0.4093
4.0321 0.9243 6.4679
5.7317 2.1818 3.0293
1.4032 1.4947 0.9760
-0.2963 1.6114 4.4146
1.2019 4.6557 2.8236
-0.4976 4.6626 6.2622
5.2248 1.5496 0.6150
3.5253 1.5565 4.0536
5.0235 4.6008 2.4626
3.3240 4.7175 5.9012
```

Computed properties:
Raw formation energy in eV/atom: -0.35


3.
Computed, not measured: an optimized crystal structure of Lu2MgGe2 at the GGA-PBEsol level of DFT.

```
Lu2MgGe2
1.0
7.0676 0.0000 0.0000
0.0000 7.0676 0.0000
0.0000 0.0000 4.0939
Lu Mg Ge
4 2 4
Cartesian
1.2471 2.2867 0.0000
2.2867 5.8205 0.0000
4.7809 1.2471 0.0000
5.8205 4.7809 0.0000
0.0000 0.0000 2.0470
3.5338 3.5338 2.0470
0.8837 4.4175 2.0470
2.6501 0.8837 2.0470
4.4175 6.1839 2.0470
6.1839 2.6501 2.0470
```

Computed properties:
DFT formation energy in meV per atom: -774


4.
Computed, not measured: an optimized crystal structure of Mg6Ni16As7 at the GGA-PBEsol level of DFT.

```
Mg6Ni16As7
1.0
0.0000 5.6918 5.6918
5.6918 0.0000 5.6918
5.6918 5.6918 0.0000
Mg Ni As
6 16 7
Cartesian
5.6918 5.6918 2.2837
5.6918 2.2837 5.6918
9.1000 5.6918 5.6918
2.2837 5.6918 5.6918
5.6918 9.1000 5.6918
5.6918 5.6918 9.1000
7.0371 4.3466 4.3466
1.9093 1.9093 1.9093
3.7825 3.7825 1.9093
3.7825 1.9093 3.7825
4.3466 4.3466 4.3466
7.0371 7.0371 4.3466
7.0371 4.3466 7.0371
1.9093 3.7825 3.7825
9.4743 7.6011 7.6011
4.3466 7.0371 4.3466
4.3466 4.3466 7.0371
7.0371 7.0371 7.0371
7.6011 9.4743 7.6011
7.6011 7.6011 9.4743
9.4743 9.4743 9.4743
4.3466 7.0371 7.0371
2.8459 2.8459 0.0000
2.8459 0.0000 2.8459
5.6918 2.8459 2.8459
0.0000 2.8459 2.8459
2.8459 5.6918 2.8459
2.8459 2.8459 5.6918
5.6918 5.6918 5.6918
```

Computed properties:
DFT formation energy in meV per atom: -394


5.
Computed, not measured: an optimized crystal structure of Li4CuP2O8 at the GGA-PBEsol level of DFT.

```
Li4CuP2O8
1.0
6.2172 0.0000 0.0000
0.0000 4.9073 0.0000
-0.3257 0.0000 10.4711
Li Cu P O
8 2 4 16
Cartesian
0.0000 0.1822 0.0000
-0.1629 4.7251 5.2355
1.3313 2.1353 9.6575
1.4941 2.7720 4.4219
4.3823 2.1533 9.5616
4.5452 2.7541 4.3261
4.6430 0.3187 2.4947
4.4801 4.5887 7.7302
1.7122 0.3506 2.4856
1.5493 4.5568 7.7211
-0.1191 2.2214 7.0206
0.0437 2.6859 1.7850
3.0112 0.3835 5.0573
2.8483 4.5238 10.2929
0.0668 2.1594 0.3302
-0.0960 2.7479 5.5658
-0.1125 0.6469 7.0002
0.0504 4.2604 1.7647
1.3585 2.2612 2.5306
1.1956 2.6462 7.7661
1.5139 0.1527 9.6182
1.6767 4.7546 4.3826
3.1452 0.1234 1.2859
3.0259 1.8964 4.9708
2.8630 3.0110 10.2063
2.9824 4.7840 6.5214
4.0924 0.2136 9.5888
4.2552 4.6938 4.3533
5.0597 2.1819 2.5726
4.8968 2.7255 7.8081
```

Computed properties:
Offset from the most stable computed form in kJ/mol of formula units: 28.7
Raw formation energy in eV/atom: -2.10


6.
Computed, not measured: an optimized crystal structure of LaTc3 at the GGA-PBEsol level of DFT.

```
LaTc3
1.0
3.0831 0.0000 0.0000
0.0000 3.0831 0.0000
0.0000 0.0000 7.4679
La Tc
1 3
Cartesian
0.0000 0.0000 0.0000
0.0000 0.0000 3.7340
1.5415 1.5415 2.3210
1.5415 1.5415 5.1470
```

Computed properties:
DFT formation energy in meV per atom: 346


7.
Computed, not measured: an optimized crystal structure of MgCrIn2I at the GGA-PBEsol level of DFT.

```
MgCrIn2I
1.0
5.5079 0.0000 0.0000
0.0000 5.5079 0.0000
0.0000 0.0000 5.2174
Mg Cr In I
1 1 2 1
Cartesian
0.0000 0.0000 0.0000
0.0000 0.0000 2.6087
0.0000 2.7540 0.0000
2.7540 0.0000 0.0000
2.7540 2.7540 2.6087
```

Computed properties:
Raw formation energy in eV/atom: 0.70


8.
Computed, not measured: an optimized crystal structure of Rb2YB2 at the GGA-PBEsol level of DFT.

```
Rb2YB2
1.0
6.6236 0.0000 0.0000
0.0000 6.6236 0.0000
0.0000 0.0000 5.7120
Rb Y B
4 2 4
Cartesian
1.1938 2.1180 0.0000
2.1180 5.4297 0.0000
4.5056 1.1938 0.0000
5.4297 4.5056 0.0000
0.0000 0.0000 2.8560
3.3118 3.3118 2.8560
0.5535 3.8653 2.8560
2.7583 0.5535 2.8560
3.8653 6.0701 2.8560
6.0701 2.7583 2.8560
```

Computed properties:
Offset from the most stable computed form in kJ/mol of formula units: 0.0
DFT formation energy in meV per atom: 785


9.
Computed, not measured: an optimized crystal structure of BeNbAl at the GGA-PBEsol level of DFT.

```
BeNbAl
1.0
-2.3951 2.4887 3.4063
2.3951 -2.4887 3.4063
2.3951 2.4887 -3.4063
Be Nb Al
2 2 2
Cartesian
-1.1976 1.2444 1.7031
1.1976 1.2444 1.7031
2.3951 1.2444 -0.8518
0.0000 1.2444 4.2581
0.0000 0.0000 0.0000
0.0000 2.4887 0.0000
```

Computed properties:
DFT formation energy in meV per atom: -336


10.
Computed, not measured: an optimized crystal structure of HoAlNi at the GGA-PBEsol level of DFT.

```
HoAlNi
1.0
6.8295 0.0000 0.0000
-3.4148 5.9145 0.0000
0.0000 0.0000 3.8418
Ho Al Ni
3 3 3
Cartesian
-1.4253 2.4686 0.0000
2.8505 0.0000 0.0000
1.9895 3.4459 0.0000
-2.6076 4.5165 1.9209
0.8072 1.3980 1.9209
5.2152 0.0000 1.9209
0.0000 0.0000 0.0000
0.0000 3.9430 1.9209
3.4148 1.9715 1.9209
```

Computed properties:
DFT formation energy in meV per atom: -619


11.
Computed, not measured: an optimized crystal structure of Cd2RuBr at the GGA-PBEsol level of DFT.

```
Cd2RuBr
1.0
3.0758 0.0000 0.0000
0.0000 3.2341 0.0000
0.0000 0.0000 8.1562
Cd Ru Br
2 1 1
Cartesian
0.0000 0.0000 1.6965
0.0000 0.0000 6.4597
1.5379 1.6170 0.0000
0.0000 1.6170 4.0781
```

Computed properties:
Raw formation energy in eV/atom: 0.23


12.
Computed, not measured: an optimized crystal structure of FeTcSe2 at the GGA-PBEsol level of DFT.

```
FeTcSe2
1.0
3.0439 0.0000 0.0000
0.0000 3.0439 0.0000
0.0000 0.0000 6.0931
Fe Tc Se
1 1 2
Cartesian
0.0000 0.0000 0.0000
0.0000 0.0000 3.0465
1.5220 1.5220 1.4973
1.5220 1.5220 4.5958
```

Computed properties:
Offset from the most stable computed form in kJ/mol of formula units: 0.0
Raw formation energy in eV/atom: 0.10